[1]
First-principles (PBE) data for ErMg2Ga2Pd after structural relaxation, as listed in Alexandria via LeMat-Bulk.

Structure (extended XYZ):
```
6
Lattice="-1.643 4.436 2.071 -4.126 -2.430 1.932 5.593 -2.072 2.438" Properties=species:S:1:pos:R:3 pbc="T T T"
Er -2.885 1.003 2.001
Mg -0.709 -1.750 3.186
Mg 0.533 1.683 3.255
Ga -1.396 0.415 4.441
Ga 1.220 -0.482 2.000
Pd 0.000 0.000 0.000
```

- Magnetic moment: 0.0 μB per cell
- VASP energy: -3.13 eV per atom

[2]
First-principles (PBE) data for KGa2TePd after structural relaxation, as listed in Alexandria via LeMat-Bulk.

Structure (extended XYZ):
```
5
Lattice="4.907 0.000 0.000 0.000 5.850 0.000 0.000 0.000 4.907" Properties=species:S:1:pos:R:3 pbc="T T T"
K 2.454 2.925 2.454
Te 0.000 2.925 0.000
Ga 0.000 0.000 2.454
Ga 2.454 0.000 0.000
Pd 0.000 0.000 0.000
```

- Formation energy without anion corrections: -0.33 eV per atom
- Magnetic moment: 0.0 μB per cell

[3]
First-principles (PBE) data for NaLiTlF4 after structural relaxation, as listed in Alexandria via LeMat-Bulk.

Structure (extended XYZ):
```
14
Lattice="6.658 0.000 0.000 3.329 5.794 0.094 3.329 1.855 5.490" Properties=species:S:1:pos:R:3 pbc="T T T"
Na 4.994 0.927 2.745
Na 1.665 0.927 2.745
Li 6.658 3.796 0.703
Li 6.658 3.853 4.881
Tl 0.000 0.000 0.000
Tl 3.329 3.824 2.792
F 9.987 5.733 4.184
F 6.658 5.741 4.190
F 6.658 1.908 1.394
F 3.329 1.915 1.400
F 5.090 4.803 1.439
F 8.226 4.804 1.439
F 5.090 2.845 4.145
F 8.226 2.845 4.145
```

- Formation energy without anion corrections: -2.30 eV per atom
- Magnetic moment: 0.0 μB per cell

[4]
First-principles (PBE) data for Pm5PrSm5 after structural relaxation, as listed in Alexandria via LeMat-Bulk.

Structure (extended XYZ):
```
11
Lattice="-0.729 3.649 5.981 4.825 -6.703 2.331 9.370 -1.315 2.214" Properties=species:S:1:pos:R:3 pbc="T T T"
Pm 2.823 0.344 2.604
Pm 9.411 -3.189 5.041
Pm 7.097 -4.009 2.272
Pm 4.054 -1.180 5.486
Pm 10.642 -4.713 7.922
Pr 0.000 0.000 0.000
Sm 3.653 -3.013 2.359
Sm 6.185 -0.448 2.936
Sm -0.365 1.825 2.991
Sm 7.281 -3.921 7.590
Sm 9.812 -1.356 8.167
```

- Energy above the most stable polymorph in this dataset: 0.00 kJ/mol of atoms
- Magnetic moment: 0.0 μB per cell

[5]
First-principles (PBE) data for GeP2Cl after structural relaxation, as listed in Alexandria via LeMat-Bulk.

Structure (extended XYZ):
```
4
Lattice="3.710 -0.186 2.662 2.790 3.607 0.285 0.174 2.455 3.850" Properties=species:S:1:pos:R:3 pbc="T T T"
P 1.669 1.469 1.699
P 5.006 4.407 5.098
Ge 3.337 2.938 3.399
Cl 0.000 0.000 0.000
```

- Formation energy without anion corrections: 0.67 eV per atom
- Energy above the most stable polymorph in this dataset: 14.61 kJ/mol of atoms
- Magnetic moment: 0.0 μB per cell

[6]
First-principles (PBE) data for RbSn2Sb after structural relaxation, as listed in Alexandria via LeMat-Bulk.

Structure (extended XYZ):
```
8
Lattice="-3.418 -5.917 5.926 4.053 -6.770 -4.422 3.216 -5.954 2.812" Properties=species:S:1:pos:R:3 pbc="T T T"
Sb 0.000 0.000 0.000
Sb 0.058 -9.107 4.746
Sn -1.021 -6.370 4.193
Sn 3.105 -6.121 -1.658
Sn 2.419 -8.836 2.926
Sn 3.199 -15.953 3.173
Rb 0.318 -6.343 0.752
Rb 3.793 -9.533 -0.428
```

- Formation energy without anion corrections: -0.05 eV per atom
- Magnetic moment: 0.0 μB per cell